Computed, not measured: a geometry-optimized ThAlCo structure at the GGA-PBE level of DFT.

Unit cell a=6.9835 b=6.9835 c=4.0527 alpha=90.00 beta=90.00 gamma=120.00
Space group P-62m (No. 189)
Unique sites:
Th: 0.0000 0.5802 0.0000
Al: 0.0000 0.2272 0.5000
Co: 0.0000 0.0000 0.0000
Co: 0.3333 0.6667 0.5000

Output
Calculated formation energy   -0.52 eV per atom
Electronic total energy   -6.6131 eV per atom

---

Computed, not measured: a geometry-optimized Th3Al4Co4 structure at the GGA-PBE level of DFT.

Unit cell a=3.7724 b=7.4821 c=14.0112 alpha=90.00 beta=90.00 gamma=90.00
Space group Immm (No. 71)
Unique sites:
Th: 0.0000 0.0000 0.0000
Th: 0.0000 0.5000 0.1175
Al: 0.0000 0.3115 0.3216
Co: 0.0000 0.0000 0.2340
Co: 0.0000 0.2278 0.5000

Output
Calculated formation energy   -0.48 eV per atom
Electronic total energy   -6.4510 eV per atom

---

What is the formula in the second record? Th3Al4Co4

---

Among the records above, which one has the lowest calculated formation energy? ThAlCo

---

Among the records above, which one has the lowest electronic total energy? ThAlCo